Entry from Alexandria: K2LaSc after structural relaxation (PBE).

Cell lengths 3.6088, 3.6088, 14.2665 Å; angles 90.00, 90.00, 117.67 degrees
Positions (direct):
1 K 0.0000 0.0000 0.9889
2 K 0.0000 0.0000 0.5111
3 La 0.5000 0.5000 0.2500
4 Sc 0.5000 0.5000 0.7500

## Properties
Space-group type: Cmmm
Total magnetization (μB per formula unit): 1.48
Distance to the lowest polymorph of the same formula (meV/atom): 238